# GGA-PBE MoPtWS2, relaxed
# - ΔE_f (raw) (eV per atom) = 1.2021
# - D(E_F) (states/eV/atom) = 1.212
# - magnetization (Bohr magnetons per cell) = 0.001
data_MoPtWS2
_chemical_formula_sum 'Mo1 Pt1 W1 S2'
_symmetry_space_group_name_H-M 'P 4/m m m'
_symmetry_Int_Tables_number 123
_symmetry_space_group_name_Hall '-P 4 2'
_cell_length_a 4.446
_cell_length_b 4.446
_cell_length_c 5.106
_cell_angle_alpha 90.00
_cell_angle_beta 90.00
_cell_angle_gamma 90.00
loop_
_atom_site_label
_atom_site_type_symbol
_atom_site_fract_x
_atom_site_fract_y
_atom_site_fract_z
Mo1 Mo 0.000 0.000 0.000
Pt1 Pt 0.500 0.500 0.500
W1 W 0.000 0.000 0.500
S1 S 0.000 0.500 0.000